[1]
PBE RbNaTbBr5, relaxed; crystal system = monoclinic; symmetry = No. 15; formation energy from raw total energies = -1.764 eV per atom; density of states at the Fermi level = 0.00 states/eV/cell
1.0
-5.6769 -0.3208 5.9867
7.0035 -3.5530 2.5492
2.6542 10.5740 -0.1514
Rb Na Tb Br
2 2 2 10
Direct
0.3378 0.6622 0.2500
0.6622 0.3378 0.7500
0.6898 0.3102 0.2500
0.3102 0.6898 0.7500
0.0000 0.0000 0.5000
0.0000 0.0000 0.0000
0.0654 0.9346 0.2500
0.9346 0.0654 0.7500
0.9074 0.2938 0.0847
0.0926 0.7062 0.9153
0.7062 0.0926 0.4153
0.2938 0.9074 0.5847
0.7470 0.6415 0.4343
0.2530 0.3585 0.5657
0.3585 0.2530 0.0657
0.6415 0.7470 0.9343


[2]
PBE LiZnP2, relaxed; crystal system = cubic; symmetry = No. 216; ΔE_f = 0.9 eV per formula unit; density of states at the Fermi level = 2.63 states/eV/cell
1.0
4.3700 0.0000 0.0000
2.1850 3.7845 0.0000
2.1850 1.2615 3.5680
Li P Zn
1 2 1
Direct
0.5000 0.5000 0.5000
0.0000 0.0000 0.0000
0.2500 0.2500 0.2500
0.7500 0.7500 0.7500


[3]
PBE CoRe2Au, relaxed; distance to the lowest polymorph of the same formula = 120 meV per atom; crystal system = orthorhombic; symmetry = No. 47; ΔE_f = 1.4 eV per formula unit; density of states at the Fermi level = 3.57 states/eV/cell
1.0
-0.5263 -3.7719 0.9216
1.0872 0.4499 2.4622
-3.8961 1.6307 4.4489
Au Co Re
1 1 2
Direct
0.5000 0.2500 0.2500
0.5000 0.7500 0.7500
0.0000 0.0328 0.9678
0.0000 0.4672 0.5322


[4]
PBE PmTeRh, relaxed; distance to the lowest polymorph of the same formula = 68 meV per atom; crystal system = trigonal; symmetry = No. 156; formation energy from raw total energies = -1.041 eV per atom; density of states at the Fermi level = 1.22 states/eV/cell
1.0
4.0042 0.0000 0.0000
0.0000 4.5096 0.0000
0.0000 -2.2548 3.9054
Te Rh Pm
1 1 1
Direct
0.1886 0.3333 0.6667
0.1324 0.0000 0.0000
0.6790 0.6667 0.3333


[5]
PBE PrEuBiAu, relaxed; crystal system = cubic; symmetry = No. 216; ΔE_f = -3.0 eV per formula unit; density of states at the Fermi level = 2.62 states/eV/cell
1.0
5.4904 0.0000 0.0000
2.7452 4.7549 0.0000
2.7452 1.5850 4.4829
Eu Pr Au Bi
1 1 1 1
Direct
0.2500 0.2500 0.2500
0.7500 0.7500 0.7500
0.0000 0.0000 0.0000
0.5000 0.5000 0.5000


[6]
PBE Sm4InSe2, relaxed; crystal system = orthorhombic; symmetry = No. 63; formation energy from raw total energies = -1.178 eV per atom; density of states at the Fermi level = 11.10 states/eV/cell
1.0
4.1472 0.0000 0.0000
-2.0736 6.9000 0.0000
0.0000 0.0000 14.2551
Sm In Se
8 2 4
Direct
0.2293 0.4585 0.6210
0.7707 0.5415 0.3790
0.7707 0.5415 0.1210
0.2293 0.4585 0.8790
0.9323 0.8646 0.7500
0.0677 0.1354 0.2500
0.5000 0.0000 0.0000
0.5000 0.0000 0.5000
0.3949 0.7898 0.2500
0.6051 0.2102 0.7500
0.8635 0.7271 0.9405
0.1365 0.2729 0.0595
0.8635 0.7271 0.5595
0.1365 0.2729 0.4405


[7]
PBE Y6Ga2S, relaxed; crystal system = monoclinic; symmetry = No. 14; formation energy from raw total energies = -0.738 eV per atom; density of states at the Fermi level = 20.86 states/eV/cell
1.0
-0.0877 6.3424 0.8349
-7.8027 0.0104 -0.8988
-1.0988 -1.3386 9.5233
Y Ga S
12 4 2
Direct
0.1312 0.0367 0.2377
0.1518 0.3203 0.5639
0.1504 0.3207 0.9352
0.3496 0.8207 0.5648
0.3482 0.8203 0.9361
0.3688 0.5367 0.2623
0.8688 0.9633 0.7623
0.8482 0.6797 0.4361
0.8496 0.6793 0.0648
0.6504 0.1793 0.4352
0.6518 0.1797 0.0639
0.6312 0.4633 0.7377
0.0607 0.6201 0.7482
0.4393 0.1201 0.7518
0.5607 0.8799 0.2482
0.9393 0.3799 0.2518
0.5000 0.5000 0.0000
0.0000 0.0000 0.5000


[8]
PBE LuUIrOs, relaxed; crystal system = cubic; symmetry = No. 216; ΔE_f = -1.5 eV per formula unit; density of states at the Fermi level = 8.04 states/eV/cell
1.0
-4.6492 0.6451 -0.9535
-2.9179 -3.7810 -0.3602
-3.2778 -0.8273 3.3929
Os Ir U Lu
1 1 1 1
Direct
0.5000 0.5000 0.5000
0.0000 0.0000 0.0000
0.2500 0.2500 0.2500
0.7500 0.7500 0.7500